1.
Material: SrZrAg
Method: DFT, PBE
State: optimized geometry

abc: 3.473 3.473 7.832
angles: 90.00 90.00 120.00
Fractional positions:
Ag 0.000 0.000 0.980
Sr 0.333 0.667 0.320
Zr 0.667 0.333 0.701

* crystal system: trigonal
* N(E_F): 4.1 states/eV per cell
* formation enthalpy at 0 K: 0.380 eV per atom
* M_tot: 0.00 μB per formula unit
* polymorph energy (0 for the lowest one): 198 meV/atom

2.
Material: Na3TiGe
Method: DFT, PBE
State: optimized geometry

abc: 5.467 5.467 5.467
angles: 90.00 90.00 90.00
Site moments in Bohr magnetons follow the coordinates.
Fractional positions:
Na 0.500 0.000 0.000  0.00
Na 0.000 0.500 0.000  0.00
Na 0.000 0.000 0.500  0.01
Ge 0.000 0.000 0.000  0.11
Ti 0.500 0.500 0.500  -0.04

* crystal system: cubic
* N(E_F): 13.5 states/eV per cell
* formation enthalpy at 0 K: 0.949 eV per atom
* M_tot: 0.19 μB per formula unit
* polymorph energy (0 for the lowest one): 0 meV/atom

3.
Material: Eu5Y3H12
Method: DFT, PBE
State: optimized geometry

abc: 11.708 11.708 11.708
angles: 109.47 109.47 109.47
Site moments in Bohr magnetons follow the coordinates.
Fractional positions:
Eu 0.750 0.125 0.875  -6.86
Eu 0.500 0.500 0.000  6.72
Eu 0.625 0.875 0.250  -6.86
Eu 0.500 0.500 0.500  6.72
Eu 0.125 0.750 0.375  -6.86
Eu 0.375 0.125 0.750  -6.86
Eu 0.500 0.000 0.500  6.72
Eu 0.000 0.500 0.500  6.72
Eu 0.875 0.625 0.750  -6.86
Eu 0.000 0.500 0.000  6.72
Eu 0.375 0.250 0.125  -6.86
Eu 0.125 0.375 0.250  -6.86
Eu 0.625 0.750 0.875  -6.86
Eu 0.250 0.375 0.625  -6.86
Eu 0.000 0.000 0.000  6.72
Eu 0.250 0.875 0.125  -6.86
Eu 0.875 0.250 0.625  -6.86
Eu 0.500 0.000 0.000  6.72
Eu 0.750 0.625 0.375  -6.86
Eu 0.000 0.000 0.500  6.72
H 0.842 0.913 0.072  0.00
H 0.770 0.342 0.929  0.00
H 0.572 0.230 0.159  0.00
H 0.659 0.587 0.929  0.00
H 0.928 0.341 0.270  0.00
H 0.658 0.428 0.587  0.00
H 0.413 0.072 0.342  0.00
H 0.071 0.158 0.230  0.00
H 0.587 0.928 0.658  0.00
H 0.158 0.071 0.730  0.00
H 0.428 0.658 0.087  0.00
H 0.429 0.270 0.342  0.00
H 0.270 0.841 0.928  0.00
H 0.270 0.429 0.842  0.00
H 0.659 0.072 0.230  0.00
H 0.158 0.087 0.928  0.00
H 0.159 0.730 0.572  0.00
H 0.087 0.158 0.428  0.00
H 0.341 0.928 0.770  0.00
H 0.072 0.659 0.730  0.00
H 0.571 0.730 0.658  0.00
H 0.730 0.571 0.158  0.00
H 0.342 0.770 0.429  0.00
H 0.230 0.658 0.071  0.00
H 0.841 0.571 0.913  0.00
H 0.342 0.572 0.413  0.00
H 0.428 0.770 0.841  0.00
H 0.341 0.413 0.071  0.00
H 0.913 0.071 0.841  0.00
H 0.413 0.341 0.571  0.00
H 0.658 0.230 0.571  0.00
H 0.587 0.659 0.429  0.00
H 0.230 0.572 0.659  0.00
H 0.572 0.342 0.913  0.00
H 0.929 0.842 0.770  0.00
H 0.929 0.087 0.659  0.00
H 0.730 0.159 0.072  0.00
H 0.928 0.587 0.158  0.00
H 0.071 0.913 0.341  0.00
H 0.159 0.429 0.087  0.00
H 0.087 0.929 0.159  0.00
H 0.841 0.270 0.428  0.00
H 0.429 0.159 0.587  0.00
H 0.072 0.413 0.842  0.00
H 0.842 0.929 0.270  0.00
H 0.913 0.842 0.572  0.00
H 0.571 0.841 0.413  0.00
H 0.770 0.428 0.341  0.00
Y 0.875 0.750 0.125  -0.09
Y 0.125 0.250 0.875  -0.09
Y 0.625 0.250 0.375  -0.09
Y 0.125 0.875 0.750  -0.09
Y 0.375 0.625 0.250  -0.09
Y 0.750 0.875 0.625  -0.09
Y 0.375 0.750 0.625  -0.09
Y 0.250 0.125 0.375  -0.09
Y 0.875 0.125 0.250  -0.09
Y 0.750 0.375 0.125  -0.09
Y 0.625 0.375 0.750  -0.09
Y 0.250 0.625 0.875  -0.09

* crystal system: cubic
* total DFT energy (no corrections): -5.92 eV/atom
* N(E_F): 95.0 states/eV per cell
* M_tot: 8.45 μB per formula unit

4.
Material: SeBr3F
Method: DFT, PBE
State: optimized geometry

abc: 5.226 5.226 5.226
angles: 90.00 90.00 90.00
Site moments in Bohr magnetons follow the coordinates.
Fractional positions:
Br 0.000 0.000 0.500  -0.04
Br 0.000 0.500 0.000  0.01
Br 0.500 0.000 0.000  0.01
Se 0.000 0.000 0.000  0.04
F 0.500 0.500 0.500  -0.45

* crystal system: cubic
* N(E_F): 9.4 states/eV per cell
* M_tot: 0.50 μB per formula unit
* polymorph energy (0 for the lowest one): 599 meV/atom

5.
Material: GaSiAg2W
Method: DFT, PBE
State: optimized geometry

abc: 4.672 4.793 4.672
angles: 90.00 90.00 90.00
Site moments in Bohr magnetons follow the coordinates.
Fractional positions:
Ag 0.500 0.000 0.000  0.01
Ag 0.000 0.000 0.500  0.04
Ga 0.000 0.500 0.000  -0.05
W 0.500 0.500 0.500  2.75
Si 0.000 0.000 0.000  0.03

* crystal system: tetragonal
* total DFT energy (no corrections): -4.05 eV/atom
* N(E_F): 4.0 states/eV per cell
* M_tot: 3.65 μB per formula unit

6.
Material: Sc4Sb2S
Method: DFT, PBE
State: optimized geometry

abc: 7.175 6.142 8.336
angles: 90.00 115.72 90.00
Fractional positions:
Sb 0.213 0.250 0.420
Sb 0.787 0.750 0.580
Sb 0.672 0.750 0.073
Sb 0.328 0.250 0.927
Sc 0.522 0.996 0.722
Sc 0.920 0.250 0.595
Sc 0.522 0.504 0.722
Sc 0.208 0.750 0.868
Sc 0.478 0.496 0.278
Sc 0.080 0.750 0.405
Sc 0.792 0.250 0.132
Sc 0.478 0.004 0.278
S 0.828 0.250 0.855
S 0.172 0.750 0.145

* crystal system: monoclinic
* total DFT energy (no corrections): -6.37 eV/atom
* N(E_F): 11.3 states/eV per cell
* M_tot: 0.00 μB per formula unit

7.
Material: Na2BiPb
Method: DFT, PBE
State: optimized geometry

abc: 4.842 4.894 4.894
angles: 90.00 90.00 90.00
Fractional positions:
Pb 0.500 0.000 0.000
Bi 0.500 0.500 0.500
Na 0.000 0.000 0.500
Na 0.000 0.500 0.000

* crystal system: tetragonal
* N(E_F): 1.7 states/eV per cell
* formation enthalpy at 0 K: -0.242 eV per atom
* M_tot: 0.00 μB per formula unit

8.
Material: AgPHO2
Method: DFT, PBE
State: optimized geometry

abc: 4.125 4.125 2.985
angles: 90.00 90.00 90.00
Site moments in Bohr magnetons follow the coordinates.
Fractional positions:
O 0.000 0.500 0.000  0.16
O 0.500 0.000 0.000  0.16
Ag 0.500 0.500 0.500  0.10
P 0.000 0.000 0.500  0.00
H 0.000 0.000 0.000  0.01

* crystal system: tetragonal
* N(E_F): 3.8 states/eV per cell
* M_tot: 0.45 μB per formula unit
* polymorph energy (0 for the lowest one): 0 meV/atom